Record 1
## Er5CoAg (GGA-PBE)

Data for a relaxed structure of Er5CoAg.

Lattice parameters (Å, degrees): 6.599 6.599 10.752 69.82 69.82 61.35
Element x y z (fractional)
Er (0.044, 0.387, 0.864)
Er (0.786, 0.446, 0.476)
Er (0.387, 0.044, 0.364)
Er (0.613, 0.956, 0.636)
Er (0.554, 0.214, 0.024)
Er (0.446, 0.786, 0.976)
Er (0.956, 0.613, 0.136)
Er (0.035, 0.965, 0.750)
Er (0.965, 0.035, 0.250)
Er (0.214, 0.554, 0.524)
Ag (0.506, 0.494, 0.250)
Ag (0.494, 0.506, 0.750)
Co (0.000, 0.000, 0.000)
Co (0.000, 0.000, 0.500)

As for the symmetry: C2/c.

***

Record 2
## Er3CoAg (GGA-PBE)

Data for a relaxed structure of Er3CoAg.

Lattice parameters (Å, degrees): 3.735 8.487 8.489 69.20 90.00 90.00
Element x y z (fractional)
Er (0.864, 0.375, 0.814)
Er (0.864, 0.013, 0.679)
Er (0.363, 0.015, 0.067)
Er (0.863, 0.626, 0.065)
Er (0.363, 0.374, 0.426)
Er (0.863, 0.762, 0.427)
Co (0.364, 0.194, 0.746)
Co (0.363, 0.694, 0.246)
Ag (0.863, 0.194, 0.247)
Ag (0.363, 0.694, 0.746)

For the polymorph energy (0 for the lowest one), the calculation gives 51.0 meV/atom. As for the symmetry: Cmmm.

***

Record 3
## Er8Co2Ag (GGA-PBE)

Data for a relaxed structure of Er8Co2Ag.

Lattice parameters (Å, degrees): 5.418 7.609 7.609 113.03 97.97 97.97
Element x y z (fractional)
Co (0.000, 0.694, 0.306)
Co (0.000, 0.306, 0.694)
Er (0.085, 0.332, 0.069)
Er (0.915, 0.931, 0.668)
Er (0.915, 0.668, 0.931)
Er (0.696, 0.381, 0.381)
Er (0.085, 0.069, 0.332)
Er (0.500, 0.758, 0.242)
Er (0.500, 0.242, 0.758)
Er (0.304, 0.619, 0.619)
Ag (0.500, 0.000, 0.000)

As for the symmetry: C2/m.

***

ΔE_f values, unit eV/f.u., following the record order: -0.3; -0.8; -0.9.